(1)
Computed, not measured: crystalline NaLiNi2Au at its relaxed geometry at the PBEsol level of DFT.

```
NaLiNi2Au
1.0
4.722 0.000 0.000
0.000 4.722 0.000
0.000 0.000 4.663
Na Li Ni Au
1 1 2 1
Direct
0.000 0.000 0.000
0.500 0.500 0.000
0.000 0.500 0.500
0.500 0.000 0.500
0.500 0.500 0.500
```

Calculated values
Its uncorrected energy is -3.31 eV per atom. For the density of states at the Fermi level, the calculation gives 8.742 states/eV/f.u. The calculated volume is 103.97 Å³/cell. The value obtained for the calculated formation energy is 3.1 eV/f.u.

(2)
Computed, not measured: crystalline LiNb3Au at its relaxed geometry at the PBEsol level of DFT.

```
LiNb3Au
1.0
4.341 0.000 0.000
0.000 4.341 0.000
0.000 0.000 4.341
Li Nb Au
1 3 1
Direct
0.000 0.000 0.000
0.000 0.000 0.500
0.000 0.500 0.000
0.500 0.000 0.000
0.500 0.500 0.500
```

Calculated values
Its uncorrected energy is -6.74 eV per atom. For the density of states at the Fermi level, the calculation gives 7.427 states/eV/f.u. The calculated volume is 81.82 Å³/cell. The value obtained for the calculated formation energy is 4.7 eV/f.u.

Q: Which of these has the lowest calculated formation energy?
A: NaLiNi2Au

Q: Which value of calculated formation energy does entry 1 give?
A: 3.1 eV/f.u.